1.
Computed, not measured: crystalline TbEr2Sn at its relaxed geometry at the PBE level of DFT.

a = 4.777 Å, b = 4.789 Å, c = 4.789 Å
α = 90.00°, β = 90.00°, γ = 90.00°
Fractional coordinates of all 4 atoms:
Tb 0.500 0.500 0.500
Sn 0.500 0.000 0.000
Er 0.000 0.000 0.500
Er 0.000 0.500 0.000

Calculated formation energy = -0.41 eV/atom

=====

2.
Computed, not measured: crystalline BaFeIr2 at its relaxed geometry at the PBE level of DFT.

a = 4.875 Å, b = 4.875 Å, c = 3.372 Å
α = 90.00°, β = 90.00°, γ = 90.00°
Site moments in Bohr magnetons follow the coordinates.
Fractional coordinates of all 4 atoms:
Ba 0.500 0.000 0.500  -0.04
Fe 0.000 0.500 0.500  3.35
Ir 0.000 0.000 0.000  0.63
Ir 0.500 0.500 0.000  0.63

Calculated formation energy = 0.96 eV/atom

=====

3.
Computed, not measured: crystalline Rb3Pu2MnSe6 at its relaxed geometry at the PBE level of DFT.

a = 7.282 Å, b = 7.282 Å, c = 8.292 Å
α = 98.42°, β = 98.42°, γ = 119.99°
Site moments in Bohr magnetons follow the coordinates.
Fractional coordinates of all 12 atoms:
Rb 0.167 0.833 0.500  0.00
Rb 0.833 0.167 0.500  0.00
Rb 0.500 0.500 0.500  0.00
Pu 0.333 0.667 0.000  4.99
Pu 0.667 0.333 0.000  4.99
Mn 0.000 0.000 0.000  4.20
Se 0.937 0.615 0.811  -0.09
Se 0.740 0.740 0.190  -0.09
Se 0.063 0.385 0.189  -0.09
Se 0.615 0.937 0.811  -0.09
Se 0.260 0.260 0.810  -0.09
Se 0.385 0.063 0.189  -0.09

Uncorrected formation energy = -1.191 eV/atom